# GGA-PBE K4AcTe3O12, optimized geometry
# **Uncorrected formation energy**: -1.50 eV per atom
# **Space-group type**: No. 229
data_K4AcTe3O12
_symmetry_space_group_name_H-M 'P 1'
_symmetry_Int_Tables_number 1
_cell_length_a 7.3367
_cell_length_b 7.3367
_cell_length_c 7.3367
_cell_angle_alpha 109.47
_cell_angle_beta 109.47
_cell_angle_gamma 109.47
loop_
_symmetry_equiv_pos_as_xyz
'x,y,z'
loop_
_atom_site_label
_atom_site_fract_x
_atom_site_fract_y
_atom_site_fract_z
K1 0.5000 0.5000 0.5000
K2 0.0000 0.0000 0.5000
K3 0.5000 0.0000 0.0000
K4 0.0000 0.5000 0.0000
Ac1 0.0000 0.0000 0.0000
Te1 0.5000 0.0000 0.5000
Te2 0.5000 0.5000 0.0000
Te3 0.0000 0.5000 0.5000
O1 0.2500 0.5000 0.7500
O2 0.7233 0.0000 0.7233
O3 0.2767 0.0000 0.2767
O4 0.7500 0.5000 0.2500
O5 0.7233 0.7233 0.0000
O6 0.2767 0.2767 0.0000
O7 0.7500 0.2500 0.5000
O8 0.2500 0.7500 0.5000
O9 0.5000 0.2500 0.7500
O10 0.0000 0.7233 0.7233
O11 0.5000 0.7500 0.2500
O12 0.0000 0.2767 0.2767

***

# GGA-PBE Co4Pb, optimized geometry
# **Formation enthalpy at 0 K**: 400 meV per atom
# **Distance to the lowest polymorph of the same formula**: 46 meV/atom
# **Space-group type**: No. 139
data_Co4Pb
_symmetry_space_group_name_H-M 'P 1'
_symmetry_Int_Tables_number 1
_cell_length_a 5.8677
_cell_length_b 5.8677
_cell_length_c 5.8677
_cell_angle_alpha 142.86
_cell_angle_beta 142.86
_cell_angle_gamma 53.54
loop_
_symmetry_equiv_pos_as_xyz
'x,y,z'
loop_
_atom_site_label
_atom_site_fract_x
_atom_site_fract_y
_atom_site_fract_z
Co1 0.7500 0.2500 0.5000
Co2 0.2500 0.7500 0.5000
Co3 0.6140 0.6140 0.0000
Co4 0.3860 0.3860 0.0000
Pb1 0.0000 0.0000 0.0000

***

# GGA-PBE Sr2CaAl4Au3, optimized geometry
# **Formation enthalpy at 0 K**: -497 meV per atom
# **Space-group type**: No. 115
data_Sr2CaAl4Au3
_symmetry_space_group_name_H-M 'P 1'
_symmetry_Int_Tables_number 1
_cell_length_a 4.4718
_cell_length_b 4.4718
_cell_length_c 11.8850
_cell_angle_alpha 90.00
_cell_angle_beta 90.00
_cell_angle_gamma 90.00
loop_
_symmetry_equiv_pos_as_xyz
'x,y,z'
loop_
_atom_site_label
_atom_site_fract_x
_atom_site_fract_y
_atom_site_fract_z
Sr1 0.5000 0.0000 0.2277
Sr2 0.0000 0.5000 0.7723
Ca1 0.5000 0.5000 0.5000
Al1 0.5000 0.5000 0.0000
Al2 0.0000 0.0000 0.0000
Al3 0.5000 0.0000 0.6672
Al4 0.0000 0.5000 0.3328
Au1 0.0000 0.0000 0.5000
Au2 0.5000 0.0000 0.8827
Au3 0.0000 0.5000 0.1173

***

# GGA-PBE Tm6TePb2Se3, optimized geometry
# **Uncorrected formation energy**: -1.17 eV per atom
# **Space-group type**: No. 12
data_Tm6TePb2Se3
_symmetry_space_group_name_H-M 'P 1'
_symmetry_Int_Tables_number 1
_cell_length_a 4.2068
_cell_length_b 8.4214
_cell_length_c 9.3846
_cell_angle_alpha 102.52
_cell_angle_beta 102.95
_cell_angle_gamma 90.00
loop_
_symmetry_equiv_pos_as_xyz
'x,y,z'
loop_
_atom_site_label
_atom_site_fract_x
_atom_site_fract_y
_atom_site_fract_z
Tm1 0.3283 0.9194 0.6565
Tm2 0.6638 0.5893 0.3276
Tm3 0.6717 0.0806 0.3435
Tm4 0.9994 0.2680 0.9987
Tm5 0.0006 0.7320 0.0013
Tm6 0.3362 0.4107 0.6724
Te1 0.5000 0.0000 0.0000
Pb1 0.8333 0.6678 0.6666
Pb2 0.1667 0.3322 0.3334
Se1 0.5000 0.5000 0.0000
Se2 0.8360 0.1654 0.6720
Se3 0.1640 0.8346 0.3280

***

# GGA-PBE ZrCoRh2, optimized geometry
# **Formation enthalpy at 0 K**: -19 meV per atom
# **Space-group type**: No. 122
data_ZrCoRh2
_symmetry_space_group_name_H-M 'P 1'
_symmetry_Int_Tables_number 1
_cell_length_a 3.8540
_cell_length_b 3.8540
_cell_length_c 9.2054
_cell_angle_alpha 77.92
_cell_angle_beta 77.92
_cell_angle_gamma 90.00
loop_
_symmetry_equiv_pos_as_xyz
'x,y,z'
loop_
_atom_site_label
_atom_site_fract_x
_atom_site_fract_y
_atom_site_fract_z
Co1 0.5000 0.5000 0.0000
Co2 0.2500 0.7500 0.5000
Rh1 0.5918 0.1250 0.2500
Rh2 0.1582 0.6250 0.2500
Rh3 0.3750 0.4082 0.7500
Rh4 0.8750 0.8418 0.7500
Zr1 0.0000 0.0000 0.0000
Zr2 0.7500 0.2500 0.5000

***

# GGA-PBE Sr3Cu4Ni4, optimized geometry
# **Formation enthalpy at 0 K**: -49 meV per atom
# **Space-group type**: No. 217
data_Sr3Cu4Ni4
_symmetry_space_group_name_H-M 'P 1'
_symmetry_Int_Tables_number 1
_cell_length_a 6.4675
_cell_length_b 6.4675
_cell_length_c 6.4675
_cell_angle_alpha 109.47
_cell_angle_beta 109.47
_cell_angle_gamma 109.47
loop_
_symmetry_equiv_pos_as_xyz
'x,y,z'
loop_
_atom_site_label
_atom_site_fract_x
_atom_site_fract_y
_atom_site_fract_z
Sr1 0.5000 0.5000 0.0000
Sr2 0.5000 0.0000 0.5000
Sr3 0.0000 0.5000 0.5000
Cu1 0.0000 0.6037 0.0000
Cu2 0.6037 0.0000 0.0000
Cu3 0.0000 0.0000 0.6037
Cu4 0.3963 0.3963 0.3963
Ni1 0.0000 0.2316 0.0000
Ni2 0.0000 0.0000 0.2316
Ni3 0.2316 0.0000 0.0000
Ni4 0.7684 0.7684 0.7684

***

# GGA-PBE RbDyTlSe3, optimized geometry
# **Uncorrected formation energy**: -1.17 eV per atom
# **Space-group type**: No. 11
data_RbDyTlSe3
_symmetry_space_group_name_H-M 'P 1'
_symmetry_Int_Tables_number 1
_cell_length_a 4.1987
_cell_length_b 8.9800
_cell_length_c 11.3489
_cell_angle_alpha 107.93
_cell_angle_beta 90.00
_cell_angle_gamma 90.00
loop_
_symmetry_equiv_pos_as_xyz
'x,y,z'
loop_
_atom_site_label
_atom_site_fract_x
_atom_site_fract_y
_atom_site_fract_z
Rb1 0.2500 0.2223 0.2587
Rb2 0.7500 0.7777 0.7413
Dy1 0.2500 0.6452 0.1434
Dy2 0.7500 0.3548 0.8566
Tl1 0.2500 0.1345 0.5781
Tl2 0.7500 0.8655 0.4219
Se1 0.7500 0.8816 0.1827
Se2 0.2500 0.1184 0.8173
Se3 0.2500 0.6540 0.4069
Se4 0.7500 0.3460 0.5931
Se5 0.7500 0.4190 0.1165
Se6 0.2500 0.5810 0.8835

***

# GGA-PBE Ho6Ga2Au, optimized geometry
# **Formation enthalpy at 0 K**: -476 meV per atom
# **Distance to the lowest polymorph of the same formula**: 0 meV/atom
# **Space-group type**: No. 71
data_Ho6Ga2Au
_symmetry_space_group_name_H-M 'P 1'
_symmetry_Int_Tables_number 1
_cell_length_a 8.4833
_cell_length_b 8.4833
_cell_length_c 8.4833
_cell_angle_alpha 105.87
_cell_angle_beta 111.36
_cell_angle_gamma 111.24
loop_
_symmetry_equiv_pos_as_xyz
'x,y,z'
loop_
_atom_site_label
_atom_site_fract_x
_atom_site_fract_y
_atom_site_fract_z
Ho1 0.5522 0.7301 0.8221
Ho2 0.4478 0.2699 0.1779
Ho3 0.0920 0.2699 0.8221
Ho4 0.9080 0.7301 0.1779
Ho5 0.8060 0.7487 0.5547
Ho6 0.1940 0.2513 0.4453
Ho7 0.1940 0.7487 0.9428
Ho8 0.8060 0.2513 0.0572
Ho9 0.7063 0.3802 0.6739
Ho10 0.2937 0.6198 0.3261
Ho11 0.2937 0.9675 0.6739
Ho12 0.7063 0.0325 0.3261
Ga1 0.5000 0.3770 0.8770
Ga2 0.5000 0.6230 0.1230
Ga3 0.6454 0.0000 0.6454
Ga4 0.3546 0.0000 0.3546
Au1 0.0000 0.5000 0.5000
Au2 0.0000 0.0000 0.0000